[1]
The following is a PBE-GGA calculation of a relaxed structure of DyB4Os, from the Open Quantum Materials Database. Values from VASP.

Cell and atoms, written as Quantum ESPRESSO input:
```
&SYSTEM
  ibrav = 0, nat = 6, ntyp = 3
/
ATOMIC_SPECIES
B 10.81 B.upf
Dy 162.50 Dy.upf
Os 190.23 Os.upf
CELL_PARAMETERS angstrom
-1.5276 -1.0346 2.6271
-0.7340 -1.2304 -2.8728
4.7156 -4.8009 0.8514
ATOMIC_POSITIONS crystal
B 0.6667 0.3333 0.2808
B 0.3333 0.6667 0.2808
B 0.6667 0.3333 0.7192
B 0.3333 0.6667 0.7192
Dy 0.0000 0.0000 0.0000
Os 0.0000 0.0000 0.5000
```

Values from the calculation:
Magnetic moment, μB per formula unit: 0.6
Distance to the lowest polymorph of the same formula, meV/atom: 445
V, Å³/f.u.: 61

***

[2]
The following is a PBE-GGA calculation of a relaxed structure of DyB4Os, from the Open Quantum Materials Database. Values from VASP.

Cell and atoms, written as Quantum ESPRESSO input:
```
&SYSTEM
  ibrav = 0, nat = 24, ntyp = 3
/
ATOMIC_SPECIES
B 10.81 B.upf
Dy 162.50 Dy.upf
Os 190.23 Os.upf
CELL_PARAMETERS angstrom
5.9635 0.0000 0.0000
0.0000 11.5350 0.0000
0.0000 0.0000 3.5621
ATOMIC_POSITIONS crystal
B 0.8639 0.0302 0.5000
B 0.3873 0.0468 0.5000
B 0.7889 0.1858 0.5000
B 0.4743 0.1914 0.5000
B 0.9743 0.3086 0.5000
B 0.2889 0.3142 0.5000
B 0.8873 0.4532 0.5000
B 0.3639 0.4698 0.5000
B 0.6361 0.5302 0.5000
B 0.1127 0.5468 0.5000
B 0.7111 0.6858 0.5000
B 0.0257 0.6914 0.5000
B 0.5257 0.8086 0.5000
B 0.2111 0.8142 0.5000
B 0.6127 0.9532 0.5000
B 0.1361 0.9698 0.5000
Dy 0.1280 0.1501 0.0000
Dy 0.6280 0.3499 0.0000
Dy 0.3720 0.6501 0.0000
Dy 0.8720 0.8499 0.0000
Os 0.6406 0.0933 0.0000
Os 0.1406 0.4067 0.0000
Os 0.8594 0.5933 0.0000
Os 0.3594 0.9067 0.0000
```

Values from the calculation:
Magnetic moment, μB per formula unit: 0.0
Distance to the lowest polymorph of the same formula, meV/atom: 0
V, Å³/f.u.: 61

***

Please write out number 2 again, unchanged.
The following is a PBE-GGA calculation of a relaxed structure of DyB4Os, from the Open Quantum Materials Database. Values from VASP.

Cell and atoms, written as Quantum ESPRESSO input:
```
&SYSTEM
  ibrav = 0, nat = 24, ntyp = 3
/
ATOMIC_SPECIES
B 10.81 B.upf
Dy 162.50 Dy.upf
Os 190.23 Os.upf
CELL_PARAMETERS angstrom
5.9635 0.0000 0.0000
0.0000 11.5350 0.0000
0.0000 0.0000 3.5621
ATOMIC_POSITIONS crystal
B 0.8639 0.0302 0.5000
B 0.3873 0.0468 0.5000
B 0.7889 0.1858 0.5000
B 0.4743 0.1914 0.5000
B 0.9743 0.3086 0.5000
B 0.2889 0.3142 0.5000
B 0.8873 0.4532 0.5000
B 0.3639 0.4698 0.5000
B 0.6361 0.5302 0.5000
B 0.1127 0.5468 0.5000
B 0.7111 0.6858 0.5000
B 0.0257 0.6914 0.5000
B 0.5257 0.8086 0.5000
B 0.2111 0.8142 0.5000
B 0.6127 0.9532 0.5000
B 0.1361 0.9698 0.5000
Dy 0.1280 0.1501 0.0000
Dy 0.6280 0.3499 0.0000
Dy 0.3720 0.6501 0.0000
Dy 0.8720 0.8499 0.0000
Os 0.6406 0.0933 0.0000
Os 0.1406 0.4067 0.0000
Os 0.8594 0.5933 0.0000
Os 0.3594 0.9067 0.0000
```

Values from the calculation:
Magnetic moment, μB per formula unit: 0.0
Distance to the lowest polymorph of the same formula, meV/atom: 0
V, Å³/f.u.: 61